Run A
! GGA-PBE HgPd2O, relaxed; values from VASP
! - ρ (g cm⁻³) = 11.39
! - symmetry = No. 225
&SYSTEM
  ibrav = 0, nat = 4, ntyp = 3
/
ATOMIC_SPECIES
Hg 200.59 Hg.upf
Pd 106.42 Pd.upf
O 16.00 O.upf
CELL_PARAMETERS angstrom
0.000 3.152 3.152
3.152 0.000 3.152
3.152 3.152 0.000
ATOMIC_POSITIONS angstrom
Hg 0.000 0.000 0.000
Pd 1.576 1.576 1.576
Pd 4.728 4.728 4.728
O 3.152 3.152 3.152

Run B
! GGA-PBE HgPd2O, relaxed; values from VASP
! - ρ (g cm⁻³) = 8.93
! - symmetry = No. 122
&SYSTEM
  ibrav = 0, nat = 8, ntyp = 3
/
ATOMIC_SPECIES
Hg 200.59 Hg.upf
Pd 106.42 Pd.upf
O 16.00 O.upf
CELL_PARAMETERS angstrom
-2.552 2.552 6.134
2.552 -2.552 6.134
2.552 2.552 -6.134
ATOMIC_POSITIONS angstrom
Hg 0.000 0.000 0.000
Hg 0.000 2.552 3.067
Pd 1.276 -0.324 4.601
Pd 2.227 1.276 1.534
Pd 1.276 2.876 -1.534
Pd 0.324 1.276 7.668
O 2.552 0.000 3.067
O 0.000 0.000 6.134

The computed energies, referenced to the most stable structure and given in meV per atom, are run A 419; run B 0.

Run A
! GGA-PBE Hg3PdO, relaxed; values from VASP
! - ρ (g cm⁻³) = 11.82
! - symmetry = No. 221
&SYSTEM
  ibrav = 0, nat = 5, ntyp = 3
/
ATOMIC_SPECIES
Hg 200.59 Hg.upf
Pd 106.42 Pd.upf
O 16.00 O.upf
CELL_PARAMETERS angstrom
4.668 0.000 0.000
0.000 4.668 0.000
0.000 0.000 4.668
ATOMIC_POSITIONS angstrom
Hg 0.000 0.000 2.334
Hg 0.000 2.334 0.000
Hg 2.334 0.000 0.000
Pd 2.334 2.334 2.334
O 0.000 0.000 0.000

Run B
! GGA-PBE Hg3PdO, relaxed; values from VASP
! - ρ (g cm⁻³) = 8.41
! - symmetry = No. 221
&SYSTEM
  ibrav = 0, nat = 5, ntyp = 3
/
ATOMIC_SPECIES
Hg 200.59 Hg.upf
Pd 106.42 Pd.upf
O 16.00 O.upf
CELL_PARAMETERS angstrom
5.229 0.000 0.000
0.000 5.229 0.000
0.000 0.000 5.229
ATOMIC_POSITIONS angstrom
Hg 0.000 0.000 2.615
Hg 0.000 2.615 0.000
Hg 2.615 0.000 0.000
Pd 0.000 0.000 0.000
O 2.615 2.615 2.615

The computed energies, referenced to the most stable structure and given in meV per atom, are run A 0; run B 164.

Run A
! GGA-PBE HgPd3O, relaxed; values from VASP
! - ρ (g cm⁻³) = 11.37
! - symmetry = No. 221
&SYSTEM
  ibrav = 0, nat = 5, ntyp = 3
/
ATOMIC_SPECIES
Hg 200.59 Hg.upf
Pd 106.42 Pd.upf
O 16.00 O.upf
CELL_PARAMETERS angstrom
4.277 0.000 0.000
0.000 4.277 0.000
0.000 0.000 4.277
ATOMIC_POSITIONS angstrom
Hg 0.000 0.000 0.000
Pd 0.000 2.138 2.138
Pd 2.138 0.000 2.138
Pd 2.138 2.138 0.000
O 2.138 2.138 2.138

Run B
! GGA-PBE HgPd3O, relaxed; values from VASP
! - ρ (g cm⁻³) = 6.75
! - symmetry = No. 221
&SYSTEM
  ibrav = 0, nat = 5, ntyp = 3
/
ATOMIC_SPECIES
Hg 200.59 Hg.upf
Pd 106.42 Pd.upf
O 16.00 O.upf
CELL_PARAMETERS angstrom
5.088 0.000 0.000
0.000 5.088 0.000
0.000 0.000 5.088
ATOMIC_POSITIONS angstrom
Hg 0.000 0.000 0.000
Pd 0.000 0.000 2.544
Pd 0.000 2.544 0.000
Pd 2.544 0.000 0.000
O 2.544 2.544 2.544

The computed energies, referenced to the most stable structure and given in meV per atom, are run A 0; run B 1594.

Run A
! GGA-PBE PmHgO2, relaxed; values from VASP
! - ρ (g cm⁻³) = 7.90
! - symmetry = No. 166
&SYSTEM
  ibrav = 0, nat = 4, ntyp = 3
/
ATOMIC_SPECIES
Pm 145.00 Pm.upf
Hg 200.59 Hg.upf
O 16.00 O.upf
CELL_PARAMETERS angstrom
1.824 1.053 6.885
-1.824 1.053 6.885
0.000 -2.107 6.885
ATOMIC_POSITIONS angstrom
Pm 0.000 0.000 0.000
Hg 0.000 0.000 10.328
O 0.000 0.000 7.986
O 0.000 0.000 12.670

Run B
! GGA-PBE PmHgO2, relaxed; values from VASP
! - ρ (g cm⁻³) = 7.97
! - symmetry = No. 11
&SYSTEM
  ibrav = 0, nat = 8, ntyp = 3
/
ATOMIC_SPECIES
Pm 145.00 Pm.upf
Hg 200.59 Hg.upf
O 16.00 O.upf
CELL_PARAMETERS angstrom
6.504 0.000 0.000
0.000 3.686 0.000
-2.064 0.000 6.560
ATOMIC_POSITIONS angstrom
Pm 1.608 0.921 0.041
Pm 2.832 2.764 6.519
Hg 1.118 2.764 3.290
Hg 3.322 0.921 3.270
O 0.436 2.764 1.095
O 0.559 2.764 5.535
O 3.881 0.921 1.025
O 4.004 0.921 5.465

The computed energies, referenced to the most stable structure and given in meV per atom, are run A 55; run B 0.

Run A
! GGA-PBE Pm4Hg2O, relaxed; values from VASP
! - ρ (g cm⁻³) = 8.36
! - symmetry = No. 11
&SYSTEM
  ibrav = 0, nat = 14, ntyp = 3
/
ATOMIC_SPECIES
Pm 145.00 Pm.upf
Hg 200.59 Hg.upf
O 16.00 O.upf
CELL_PARAMETERS angstrom
6.777 0.000 0.000
0.000 7.137 0.000
-2.467 0.000 8.193
ATOMIC_POSITIONS angstrom
Pm -0.526 0.032 2.240
Pm -0.526 3.537 2.240
Pm 2.389 5.353 0.520
Pm 1.347 5.353 5.188
Pm 2.962 1.784 3.005
Pm 1.921 1.784 7.674
Pm 4.836 3.601 5.953
Pm 4.836 7.106 5.953
Hg 1.334 1.784 0.233
Hg 0.435 1.784 4.880
Hg 3.875 5.353 3.313
Hg 2.976 5.353 7.960
O -0.532 5.353 6.498
O 4.842 1.784 1.695

Run B
! GGA-PBE Pm4Hg2O, relaxed; values from VASP
! - ρ (g cm⁻³) = 8.92
! - symmetry = No. 139
&SYSTEM
  ibrav = 0, nat = 7, ntyp = 3
/
ATOMIC_SPECIES
Pm 145.00 Pm.upf
Hg 200.59 Hg.upf
O 16.00 O.upf
CELL_PARAMETERS angstrom
-2.448 2.448 7.742
2.448 -2.448 7.742
2.448 2.448 -7.742
ATOMIC_POSITIONS angstrom
Pm 2.448 0.000 0.000
Pm 0.000 0.000 2.742
Pm 0.000 2.448 0.000
Pm 0.000 0.000 12.742
Hg 0.000 0.000 5.725
Hg 0.000 0.000 9.759
O 0.000 0.000 0.000

The computed energies, referenced to the most stable structure and given in meV per atom, are run A 17; run B 0.

Run A
! GGA-PBE PmHgO, relaxed; values from VASP
! - ρ (g cm⁻³) = 8.36
! - symmetry = No. 187
&SYSTEM
  ibrav = 0, nat = 3, ntyp = 3
/
ATOMIC_SPECIES
Pm 145.00 Pm.upf
Hg 200.59 Hg.upf
O 16.00 O.upf
CELL_PARAMETERS angstrom
3.898 0.000 0.000
-1.949 3.376 0.000
0.000 0.000 5.460
ATOMIC_POSITIONS angstrom
Pm 0.000 0.000 0.000
Hg 0.000 2.251 2.730
O 1.949 1.125 0.000

Run B
! GGA-PBE PmHgO, relaxed; values from VASP
! - ρ (g cm⁻³) = 9.24
! - symmetry = No. 129
&SYSTEM
  ibrav = 0, nat = 6, ntyp = 3
/
ATOMIC_SPECIES
Pm 145.00 Pm.upf
Hg 200.59 Hg.upf
O 16.00 O.upf
CELL_PARAMETERS angstrom
4.027 0.000 0.000
0.000 4.027 0.000
0.000 0.000 8.011
ATOMIC_POSITIONS angstrom
Pm 1.007 1.007 1.143
Pm 3.020 3.020 6.868
Hg 1.007 1.007 4.733
Hg 3.020 3.020 3.278
O 1.007 3.020 0.000
O 3.020 1.007 0.000

The computed energies, referenced to the most stable structure and given in meV per atom, are run A 308; run B 0.

Run A
! GGA-PBE Pr6Hg2O, relaxed; values from VASP
! - ρ (g cm⁻³) = 7.90
! - symmetry = No. 14
&SYSTEM
  ibrav = 0, nat = 18, ntyp = 3
/
ATOMIC_SPECIES
Pr 140.91 Pr.upf
Hg 200.59 Hg.upf
O 16.00 O.upf
CELL_PARAMETERS angstrom
6.744 0.000 0.000
0.000 7.286 0.000
-6.720 0.000 10.804
ATOMIC_POSITIONS angstrom
Pr -0.739 0.055 2.575
Pr -4.099 3.588 7.977
Pr 1.208 5.120 0.415
Pr -2.152 5.809 5.817
Pr 2.140 1.381 0.416
Pr -1.220 2.262 5.818
Pr 1.244 5.024 4.986
Pr -2.116 5.905 10.389
Pr 2.176 1.477 4.987
Pr -1.184 2.166 10.389
Pr 4.123 3.698 2.828
Pr 0.763 7.231 8.230
Hg -2.848 0.643 8.080
Hg 0.511 2.999 2.678
Hg -0.487 4.286 8.126
Hg 2.872 6.642 2.724
O 0.000 0.000 0.000
O -3.360 3.643 5.402

Run B
! GGA-PBE Pr6Hg2O, relaxed; values from VASP
! - ρ (g cm⁻³) = 8.03
! - symmetry = No. 12
&SYSTEM
  ibrav = 0, nat = 9, ntyp = 3
/
ATOMIC_SPECIES
Pr 140.91 Pr.upf
Hg 200.59 Hg.upf
O 16.00 O.upf
CELL_PARAMETERS angstrom
6.196 -3.602 0.000
6.196 3.602 0.000
-4.112 0.000 5.849
ATOMIC_POSITIONS angstrom
Pr 2.826 1.829 4.157
Pr -0.334 0.000 4.781
Pr 5.453 1.829 1.692
Pr 2.826 -1.829 4.157
Pr 8.614 0.000 1.068
Pr 5.453 -1.829 1.692
Hg 2.043 0.000 1.528
Hg 6.237 0.000 4.321
O -2.056 0.000 2.924

The computed energies, referenced to the most stable structure and given in meV per atom, are run A 0; run B 5.

Run A
! GGA-PBE Pr2HgO, relaxed; values from VASP
! - ρ (g cm⁻³) = 8.73
! - symmetry = No. 62
&SYSTEM
  ibrav = 0, nat = 16, ntyp = 3
/
ATOMIC_SPECIES
Pr 140.91 Pr.upf
Hg 200.59 Hg.upf
O 16.00 O.upf
CELL_PARAMETERS angstrom
7.089 0.000 0.000
0.000 5.058 0.000
0.000 0.000 10.582
ATOMIC_POSITIONS angstrom
Pr 0.507 1.264 2.140
Pr 1.027 1.264 5.890
Pr 2.518 3.793 0.599
Pr 3.038 3.793 7.431
Pr 4.051 1.264 3.150
Pr 4.571 1.264 9.982
Pr 6.062 3.793 4.692
Pr 6.582 3.793 8.441
Hg 1.195 1.264 9.166
Hg 2.350 3.793 3.875
Hg 4.739 1.264 6.707
Hg 5.894 3.793 1.416
O 0.744 3.793 6.363
O 2.800 1.264 1.072
O 4.289 3.793 9.510
O 6.345 1.264 4.219

Run B
! GGA-PBE Pr2HgO, relaxed; values from VASP
! - ρ (g cm⁻³) = 8.66
! - symmetry = No. 166
&SYSTEM
  ibrav = 0, nat = 4, ntyp = 3
/
ATOMIC_SPECIES
Pr 140.91 Pr.upf
Hg 200.59 Hg.upf
O 16.00 O.upf
CELL_PARAMETERS angstrom
1.894 1.094 7.685
-1.894 1.094 7.685
0.000 -2.187 7.685
ATOMIC_POSITIONS angstrom
Pr 0.000 0.000 5.214
Pr 0.000 0.000 17.840
Hg 0.000 0.000 0.000
O 0.000 0.000 11.527

The computed energies, referenced to the most stable structure and given in meV per atom, are run A 0; run B 68.

Run A
! GGA-PBE HgPt2O, relaxed; values from VASP
! - ρ (g cm⁻³) = 15.34
! - symmetry = No. 1
&SYSTEM
  ibrav = 0, nat = 8, ntyp = 3
/
ATOMIC_SPECIES
Hg 200.59 Hg.upf
Pt 195.08 Pt.upf
O 16.00 O.upf
CELL_PARAMETERS angstrom
5.225 0.000 0.000
2.261 4.951 0.000
1.877 0.781 5.080
ATOMIC_POSITIONS angstrom
Hg 0.000 0.000 0.000
Hg 4.334 2.527 5.051
Pt 2.899 2.165 2.651
Pt 4.137 4.503 2.036
Pt 6.179 4.030 3.870
Pt 5.486 1.967 1.991
O 5.360 3.557 0.701
O 7.911 5.320 3.256

Run B
! GGA-PBE HgPt2O, relaxed; values from VASP
! - ρ (g cm⁻³) = 13.13
! - symmetry = No. 8
&SYSTEM
  ibrav = 0, nat = 4, ntyp = 3
/
ATOMIC_SPECIES
Hg 200.59 Hg.upf
Pt 195.08 Pt.upf
O 16.00 O.upf
CELL_PARAMETERS angstrom
4.797 -1.462 0.000
4.797 1.462 0.000
-0.845 0.000 5.471
ATOMIC_POSITIONS angstrom
Hg 0.000 0.000 0.000
Pt 1.778 0.000 4.216
Pt 7.017 0.000 1.060
O 6.089 0.000 2.888

The computed energies, referenced to the most stable structure and given in meV per atom, are run A 21; run B 0.

Run A
! GGA-PBE HgPt2O, relaxed; values from VASP
! - ρ (g cm⁻³) = 15.00
! - symmetry = No. 74
&SYSTEM
  ibrav = 0, nat = 8, ntyp = 3
/
ATOMIC_SPECIES
Hg 200.59 Hg.upf
Pt 195.08 Pt.upf
O 16.00 O.upf
CELL_PARAMETERS angstrom
-2.884 3.257 3.575
2.884 -3.257 3.575
2.884 3.257 -3.575
ATOMIC_POSITIONS angstrom
Hg 0.000 0.000 0.000
Hg 0.000 3.257 0.000
Pt 2.884 0.000 0.000
Pt -1.442 1.629 1.788
Pt 0.000 0.000 3.575
Pt 1.442 1.629 1.788
O 2.884 1.629 -1.092
O 0.000 1.629 4.667

Run B
! GGA-PBE HgPt2O, relaxed; values from VASP
! - ρ (g cm⁻³) = 13.80
! - symmetry = No. 1
&SYSTEM
  ibrav = 0, nat = 8, ntyp = 3
/
ATOMIC_SPECIES
Hg 200.59 Hg.upf
Pt 195.08 Pt.upf
O 16.00 O.upf
CELL_PARAMETERS angstrom
4.866 0.000 0.000
-0.876 5.574 0.000
-0.511 -2.924 5.381
ATOMIC_POSITIONS angstrom
Hg 0.000 0.000 0.000
Hg 0.258 3.835 3.064
Pt 0.464 1.055 2.622
Pt 0.356 0.480 5.186
Pt 3.010 0.376 3.708
Pt 3.656 2.269 0.867
O 2.377 1.016 1.865
O 2.289 3.729 1.096

The computed energies, referenced to the most stable structure and given in meV per atom, are run A 0; run B 179.

Run A
! GGA-PBE Hg3PtO, relaxed; values from VASP
! - ρ (g cm⁻³) = 13.61
! - symmetry = No. 221
&SYSTEM
  ibrav = 0, nat = 5, ntyp = 3
/
ATOMIC_SPECIES
Hg 200.59 Hg.upf
Pt 195.08 Pt.upf
O 16.00 O.upf
CELL_PARAMETERS angstrom
4.629 0.000 0.000
0.000 4.629 0.000
0.000 0.000 4.629
ATOMIC_POSITIONS angstrom
Hg 0.000 0.000 2.314
Hg 0.000 2.314 0.000
Hg 2.314 0.000 0.000
Pt 2.314 2.314 2.314
O 0.000 0.000 0.000

Run B
! GGA-PBE Hg3PtO, relaxed; values from VASP
! - ρ (g cm⁻³) = 9.12
! - symmetry = No. 221
&SYSTEM
  ibrav = 0, nat = 5, ntyp = 3
/
ATOMIC_SPECIES
Hg 200.59 Hg.upf
Pt 195.08 Pt.upf
O 16.00 O.upf
CELL_PARAMETERS angstrom
5.290 0.000 0.000
0.000 5.290 0.000
0.000 0.000 5.290
ATOMIC_POSITIONS angstrom
Hg 0.000 0.000 2.645
Hg 0.000 2.645 0.000
Hg 2.645 0.000 0.000
Pt 0.000 0.000 0.000
O 2.645 2.645 2.645

The computed energies, referenced to the most stable structure and given in meV per atom, are run A 0; run B 25.

Run A
! GGA-PBE Rb6Hg2O, relaxed; values from VASP
! - ρ (g cm⁻³) = 3.52
! - symmetry = No. 14
&SYSTEM
  ibrav = 0, nat = 18, ntyp = 3
/
ATOMIC_SPECIES
Rb 85.47 Rb.upf
Hg 200.59 Hg.upf
O 16.00 O.upf
CELL_PARAMETERS angstrom
8.517 0.000 0.000
0.000 8.528 0.000
-8.497 0.000 12.068
ATOMIC_POSITIONS angstrom
Rb -0.007 0.002 2.761
Rb 1.933 1.974 0.003
Rb -2.315 2.290 6.037
Rb -4.255 4.262 8.795
Rb -2.277 6.193 6.039
Rb 1.971 6.599 0.006
Rb -1.951 1.929 12.062
Rb 2.297 2.335 6.028
Rb 0.027 8.526 9.307
Rb 4.275 4.266 3.273
Rb 2.335 6.238 6.031
Rb -1.913 6.555 12.064
Hg 0.018 4.271 3.008
Hg -4.230 8.521 9.042
Hg 4.250 0.007 3.026
Hg 0.002 4.257 9.060
O 0.000 0.000 0.000
O -4.248 4.264 6.034

Run B
! GGA-PBE Rb6Hg2O, relaxed; values from VASP
! - ρ (g cm⁻³) = 3.62
! - symmetry = No. 38
&SYSTEM
  ibrav = 0, nat = 9, ntyp = 3
/
ATOMIC_SPECIES
Rb 85.47 Rb.upf
Hg 200.59 Hg.upf
O 16.00 O.upf
CELL_PARAMETERS angstrom
4.150 0.000 0.000
0.000 10.738 4.793
0.000 -10.738 4.793
ATOMIC_POSITIONS angstrom
Rb 0.000 0.000 0.000
Rb 0.000 -1.898 6.698
Rb 0.000 1.898 6.698
Rb 2.075 -5.754 5.014
Rb 2.075 0.000 4.095
Rb 2.075 5.754 5.014
Hg 0.000 -3.018 2.875
Hg 0.000 3.018 2.875
O 2.075 0.000 7.006

The computed energies, referenced to the most stable structure and given in meV per atom, are run A 0; run B 60.